Material: SnSb2Au2
Method: DFT, PBE
State: optimized geometry

The crystal system is tetragonal. Its total DFT energy (no corrections) is -3.706 eV per atom. For the volume, the calculation gives 239.0 Å³/cell. For the formation energy without anion corrections, the calculation gives 0.055 eV per atom. The value obtained for the offset from the most stable computed form is 124 meV per atom.

The space group is P4/mbm (No. 127) and the conventional cell measures 7.897, 7.897 and 3.832 Å, with angles of 90.00, 90.00 and 90.00 degrees. The asymmetric unit holds Sn at (0.000, 0.000, 0.000), Sb at (0.172, 0.328, 0.500) and Au at (0.130, 0.630, 0.000).